First-principles (PBE with a Hubbard U) data for a geometry-optimized CdNiPO2 structure, as listed in Alexandria via LeMat-Bulk.

```
CdNiPO2
1.0
3.756 0.000 0.000
0.000 3.756 0.000
0.000 0.000 4.737
Cd Ni P O
1 1 1 2
Cartesian
0.000 0.000 0.000 Cd
1.878 1.878 2.368 Ni
1.878 1.878 0.000 P
0.000 1.878 2.368 O
1.878 0.000 2.368 O
```

Output
Space group = No. 123
Offset from the most stable computed form = 0 meV per atom
N(E_F) = 4.26 states/eV/cell